No. 1
A geometry-optimized In2IrOs structure, computed with PBE.

Computed properties:
**N(E_F)**: 4.56 states/eV/f.u.
**E_tot**: -23.1 eV for the cell shown
**Formation enthalpy at 0 K**: 608 meV/atom

Lattice parameters (Å, degrees): 4.635 4.635 4.635 60.00 60.00 60.00
Fractional positions:
In 0.000 0.000 0.000
In 0.250 0.250 0.250
Ir 0.750 0.750 0.750
Os 0.500 0.500 0.500



No. 2
A geometry-optimized Tb5Dy12In2 structure, computed with PBE.

Computed properties:
**N(E_F)**: 27.90 states/eV/f.u.
**E_tot**: -84.0 eV for the cell shown
**Formation enthalpy at 0 K**: -7 meV/atom

Lattice parameters (Å, degrees): 8.961 8.961 8.334 91.73 91.73 62.30
Fractional positions:
Tb 0.000 0.000 0.000
Tb 0.233 0.233 0.079
Tb 0.309 0.309 0.491
Tb 0.691 0.691 0.509
Tb 0.767 0.767 0.921
Dy 0.037 0.668 0.264
Dy 0.082 0.082 0.383
Dy 0.180 0.569 0.836
Dy 0.332 0.963 0.736
Dy 0.431 0.820 0.164
Dy 0.446 0.446 0.175
Dy 0.554 0.554 0.825
Dy 0.569 0.180 0.836
Dy 0.668 0.037 0.264
Dy 0.820 0.431 0.164
Dy 0.918 0.918 0.617
Dy 0.963 0.332 0.736
In 0.321 0.679 0.500
In 0.679 0.321 0.500



No. 3
A geometry-optimized Cs2BiAu5 structure, computed with PBE.

Computed properties:
**N(E_F)**: 2.08 states/eV/f.u.
**E_tot**: -22.2 eV for the cell shown
**Formation enthalpy at 0 K**: -24 meV/atom

Lattice parameters (Å, degrees): 8.472 8.472 8.472 137.70 137.70 61.37
Fractional positions:
Cs 0.000 0.500 0.500
Cs 0.500 0.000 0.500
Bi 0.338 0.338 0.000
Au 0.110 0.110 0.000
Au 0.514 0.514 0.553
Au 0.514 0.961 0.000
Au 0.961 0.514 0.000
Au 0.961 0.961 0.447



No. 4
A geometry-optimized Pm4Dy5Tl structure, computed with PBE.

Computed properties:
**N(E_F)**: 11.28 states/eV/f.u.
**E_tot**: -44.8 eV for the cell shown
**Formation enthalpy at 0 K**: -41 meV/atom
**Energy relative to the lowest polymorph listed for this composition**: 0.0 meV/atom

Lattice parameters (Å, degrees): 3.609 4.900 17.803 90.00 90.00 90.00
Fractional positions:
Pm 0.000 0.000 0.103
Pm 0.000 0.000 0.302
Pm 0.000 0.000 0.698
Pm 0.000 0.000 0.897
Dy 0.500 0.500 0.000
Dy 0.500 0.500 0.207
Dy 0.500 0.500 0.409
Dy 0.500 0.500 0.591
Dy 0.500 0.500 0.793
Tl 0.000 0.000 0.500



No. 5
A geometry-optimized Ba3CrCu2S6 structure, computed with PBE.

Computed properties:
**N(E_F)**: 9.45 states/eV/f.u.
**E_tot**: -61.0 eV for the cell shown
**ΔE_f (raw)**: -1221 kJ/mol of formula units

Lattice parameters (Å, degrees): 7.019 7.019 8.032 90.00 90.00 120.00
Fractional positions:
Ba 0.000 0.000 0.000
Ba 0.333 0.667 0.652
Ba 0.667 0.333 0.348
Cr 0.000 0.000 0.500
Cu 0.333 0.667 0.278
Cu 0.667 0.333 0.722
S 0.155 0.311 0.307
S 0.155 0.845 0.307
S 0.311 0.155 0.693
S 0.689 0.845 0.307
S 0.845 0.155 0.693
S 0.845 0.689 0.693